1.
An optimized crystal structure of Zn5Ni. Source: the Alexandria database, functional PBE.

Computed properties:
The value obtained for the formation energy is -0.068 eV per atom. Its symmetry is I4/mcm.

The structure in POSCAR format:
```
Zn5Ni
1.0
-5.285 1.315 -2.616
2.363 -1.273 -5.413
0.045 -4.736 4.505
Zn Ni
10 2
Direct
0.522 0.700 0.723
0.478 0.300 0.277
0.022 0.522 0.723
0.978 0.478 0.277
0.300 0.800 0.277
0.500 0.500 0.000
0.000 0.000 0.000
0.200 0.022 0.723
0.700 0.200 0.723
0.800 0.978 0.277
0.750 0.750 0.500
0.250 0.250 0.500
```

***

2.
An optimized crystal structure of TbHo2Tm12. Source: the Alexandria database, functional PBE.

Computed properties:
The value obtained for the formation energy is 0.093 eV per atom. Its symmetry is C2/m.

The structure in POSCAR format:
```
TbHo2Tm12
1.0
6.411 1.461 -0.322
1.461 6.411 0.322
-0.442 0.442 23.569
Tm Tb Ho
24 2 4
Direct
0.345 0.155 0.427
0.648 0.353 0.556
0.155 0.345 0.573
0.720 0.780 0.139
0.263 0.237 0.843
0.897 0.165 0.935
0.780 0.720 0.861
0.852 0.147 0.444
0.060 0.949 0.325
0.353 0.648 0.444
0.739 0.250 0.799
0.655 0.845 0.572
0.949 0.060 0.675
0.237 0.263 0.157
0.551 0.440 0.325
0.147 0.852 0.556
0.845 0.655 0.428
0.250 0.761 0.799
0.603 0.335 0.065
0.440 0.551 0.675
0.761 0.250 0.201
0.335 0.603 0.935
0.250 0.739 0.201
0.165 0.897 0.065
0.496 0.004 0.978
0.004 0.496 0.022
0.546 0.954 0.285
0.035 0.465 0.288
0.954 0.546 0.715
0.465 0.035 0.712
```

***

3.
An optimized crystal structure of ErAsH2Ru. Source: the Alexandria database, functional PBE.

Computed properties:
The value obtained for the raw total energy is -5.6698 eV per atom. Its symmetry is Cmcm.

The structure in POSCAR format:
```
ErAsH2Ru
1.0
-1.658 1.014 -3.438
-3.701 -0.828 3.809
0.312 5.849 1.575
H Ru Er As
4 2 2 2
Direct
0.830 0.660 0.062
0.170 0.340 0.562
0.170 0.340 0.938
0.830 0.660 0.438
0.000 0.000 0.000
0.000 0.000 0.500
0.712 0.424 0.750
0.288 0.576 0.250
0.573 0.146 0.250
0.427 0.854 0.750
```

***

4.
An optimized crystal structure of SmDyAu2. Source: the Alexandria database, functional PBE.

Computed properties:
The value obtained for the formation energy is -0.831 eV per atom. Its symmetry is P4/mmm.

The structure in POSCAR format:
```
SmDyAu2
1.0
-1.388 -1.839 2.784
3.336 -0.797 1.137
0.072 6.118 4.078
Au Dy Sm
2 1 1
Direct
0.000 0.000 0.764
0.000 0.000 0.236
0.500 0.500 0.000
0.500 0.500 0.500
```

***

5.
An optimized crystal structure of TlHgPd. Source: the Alexandria database, functional PBE.

Computed properties:
The value obtained for the formation energy is -0.039 eV per atom. Its symmetry is I4mm.

The structure in POSCAR format:
```
TlHgPd
1.0
3.333 0.000 0.000
0.000 3.333 0.000
-1.666 -1.666 5.890
Pd Hg Tl
1 1 1
Direct
0.671 0.671 0.341
0.313 0.313 0.627
0.016 0.016 0.032
```

***

6.
An optimized crystal structure of PrBeCuSi2. Source: the Alexandria database, functional PBE.

Computed properties:
The value obtained for the raw total energy is -5.1593 eV per atom. Its symmetry is I-4m2.

The structure in POSCAR format:
```
PrBeCuSi2
1.0
4.053 0.000 0.000
0.000 4.053 0.000
-2.026 -2.026 4.940
Si Be Pr Cu
2 1 1 1
Direct
0.623 0.623 0.247
0.377 0.377 0.753
0.750 0.250 0.500
0.000 0.000 0.000
0.250 0.750 0.500
```

***

7.
An optimized crystal structure of Zr3Bi. Source: the Alexandria database, functional PBE.

Computed properties:
The value obtained for the formation energy is -0.183 eV per atom. Its symmetry is P6_3/mmc.

The structure in POSCAR format:
```
Zr3Bi
1.0
-2.987 -5.640 0.189
1.519 2.621 -5.620
4.646 -2.457 0.110
Bi Zr
2 6
Direct
0.667 0.333 0.250
0.333 0.667 0.750
0.672 0.836 0.250
0.836 0.672 0.750
0.164 0.328 0.250
0.328 0.164 0.750
0.836 0.164 0.750
0.164 0.836 0.250
```

***

8.
An optimized crystal structure of Sr2ReAsIr. Source: the Alexandria database, functional PBE.

Computed properties:
The value obtained for the formation energy is 0.870 eV per atom. Its symmetry is P4/mmm.

The structure in POSCAR format:
```
Sr2ReAsIr
1.0
5.793 0.000 0.000
0.000 4.625 0.000
0.000 0.000 5.793
Re Sr As Ir
1 2 1 1
Direct
0.000 0.000 0.000
0.000 0.000 0.500
0.500 0.000 0.000
0.000 0.500 0.000
0.500 0.500 0.500
```